Cr2FeBiO8: optimized geometry, PBE with a Hubbard U.

```
Cr2FeBiO8
1.0
4.6892 0.0023 0.0397
0.0502 4.6894 0.0376
0.0656 0.0677 6.2133
O Bi Fe Cr
8 1 1 2
direct
0.2088 0.7997 0.7648 O
0.7995 0.2087 0.7648 O
0.6781 0.6780 0.5043 O
0.2005 0.7913 0.2352 O
0.3148 0.3149 0.9936 O
0.6852 0.6851 0.0064 O
0.7912 0.2003 0.2352 O
0.3219 0.3220 0.4957 O
0.0000 0.0000 0.5000 Bi
0.0000 0.0000 0.0000 Fe
0.4952 0.4952 0.7607 Cr
0.5048 0.5048 0.2393 Cr
```

Results
VASP energy = -79.7 eV/f.u.
SG = No. 12
Crystal system = monoclinic